Record 1
DFT (PBE) results for a relaxed structure of Zn4CdGa.

Cell lengths 5.273, 5.273, 5.273 Å; angles 60.00, 60.00, 60.00 degrees
Fractional coordinates of all 6 atoms:
Zn: 0.625 0.625 0.625
Zn: 0.625 0.125 0.625
Zn: 0.125 0.625 0.625
Zn: 0.625 0.625 0.125
Ga: 0.000 0.000 0.000
Cd: 0.250 0.250 0.250


Record 2
DFT (PBE) results for a relaxed structure of Zn8Cd3Ga.

Cell lengths 5.289, 5.289, 9.134 Å; angles 73.17, 73.17, 60.00 degrees
Fractional coordinates of all 12 atoms:
Zn: 0.063 0.563 0.811
Zn: 0.062 0.062 0.314
Zn: 0.812 0.812 0.564
Zn: 0.562 0.062 0.314
Zn: 0.062 0.562 0.314
Zn: 0.313 0.313 0.062
Zn: 0.563 0.063 0.811
Zn: 0.563 0.563 0.811
Cd: 0.002 0.002 0.993
Cd: 0.624 0.624 0.129
Cd: 0.497 0.497 0.508
Ga: 0.127 0.127 0.619


Number 1: calculated volume 17.3 Å³/atom, E -1.44 eV per atom, energy of formation 0.062 eV/atom. Number 2: calculated volume 17.4 Å³/atom, E -1.28 eV per atom, energy of formation 0.055 eV/atom.